--- A ---
The following is a PBE calculation of NiW2Cl after structural relaxation, from Alexandria.

Lattice parameters (Å, degrees): 2.8375 2.8375 8.2405 90.00 90.00 110.80
With the nearest neighbours (Å) after each atom.
Fractional positions:
Cl: 0.0000 0.0000 0.5072  2 Ni 2.63, 2 W 2.69, 4 Cl 2.84
Ni: 0.5000 0.5000 0.7599  2 W 2.47, 2 Cl 2.63
W: 0.0000 0.0000 0.9870  2 Ni 2.47, 2 W 2.67
W: 0.5000 0.5000 0.2459  6 W 2.67-2.84, 2 Cl 2.69

Output
magnetization: 0.0 Bohr magnetons per cell
V: 15.51 Å³ per atom
space-group type: Cmm2, No. 35

***

--- B ---
The following is a PBE calculation of NiW2Cl after structural relaxation, from Alexandria.

Lattice parameters (Å, degrees): 4.8700 4.8700 4.8700 133.44 133.44 67.96
With the nearest neighbours (Å) after each atom.
Fractional positions:
Cl: 0.5000 0.5000 0.0000  8 W 2.72-2.79, 4 Ni 2.79
Ni: 0.7500 0.2500 0.5000  8 W 2.72-2.79, 4 Cl 2.79
W: 0.0000 0.0000 0.0000  4 Cl 2.72, 4 W 2.79, 4 Ni 2.79
W: 0.2500 0.7500 0.5000  4 Ni 2.72, 4 Cl 2.79, 4 W 2.79

Output
magnetization: 0.0 Bohr magnetons per cell
V: 14.96 Å³ per atom
space-group type: I-4m2, No. 119

***

Relative energies in kJ/mol of atoms: A 0.0; B 70.6

***

--- A ---
The following is a PBE calculation of NiW2Cl after structural relaxation, from Alexandria.

Lattice parameters (Å, degrees): 5.0938 5.0938 5.0938 136.76 136.76 62.80
With the nearest neighbours (Å) after each atom.
Fractional positions:
Cl: 0.2500 0.7500 0.5000  4 Ni 2.65, 8 W 2.87
Ni: 0.7500 0.2500 0.5000  4 Cl 2.65, 8 W 2.87
W: 0.0000 0.0000 0.0000  4 W 2.65, 4 Cl 2.87, 4 Ni 2.87
W: 0.5000 0.5000 0.0000  4 W 2.65, 4 Cl 2.87, 4 Ni 2.87

Output
magnetization: 0.0 Bohr magnetons per cell
V: 15.31 Å³ per atom
space-group type: I4/mmm, No. 139

***

--- B ---
The following is a PBE calculation of NiW2Cl after structural relaxation, from Alexandria.

Lattice parameters (Å, degrees): 4.3000 4.3000 4.3000 60.00 60.00 60.00
With the nearest neighbours (Å) after each atom.
Fractional positions:
Ni: 0.5000 0.5000 0.5000  8 W 2.63
W: 0.2500 0.2500 0.2500  4 Ni 2.63, 4 Cl 2.63
W: 0.7500 0.7500 0.7500  4 Cl 2.63, 4 Ni 2.63
Cl: 0.0000 0.0000 0.0000  8 W 2.63

Output
magnetization: 0.0 Bohr magnetons per cell
V: 14.06 Å³ per atom
space-group type: Fm-3m, No. 225

***

Relative energies in kJ/mol of atoms: A 32.1; B 0.0

***

--- A ---
The following is a PBE calculation of NiW2Cl after structural relaxation, from Alexandria.

Lattice parameters (Å, degrees): 4.3944 3.7465 3.7465 90.00 90.00 90.00
With the nearest neighbours (Å) after each atom.
Fractional positions:
Cl: 0.5000 0.5000 0.0000  4 Ni 2.65, 8 W 2.89
Ni: 0.5000 0.0000 0.5000  4 Cl 2.65, 8 W 2.89
W: 0.0000 0.0000 0.0000  4 W 2.65, 4 Cl 2.89, 4 Ni 2.89
W: 0.0000 0.5000 0.5000  4 W 2.65, 4 Cl 2.89, 4 Ni 2.89

Output
magnetization: 0.0 Bohr magnetons per cell
V: 15.42 Å³ per atom
space-group type: P4/mmm, No. 123

***

--- B ---
The following is a PBE calculation of NiW2Cl after structural relaxation, from Alexandria.

Lattice parameters (Å, degrees): 2.7754 2.7754 8.7841 90.00 90.00 115.56
With the nearest neighbours (Å) after each atom.
Fractional positions:
Cl: 0.5000 0.5000 0.2500  4 W 2.73, 6 Cl 2.78-2.96
Ni: 0.5000 0.5000 0.7500  4 W 2.57, 4 Ni 2.78
W: 0.0000 0.0000 0.9886  2 Ni 2.57, 2 Cl 2.73, 4 W 2.78
W: 0.0000 0.0000 0.5114  2 Ni 2.57, 2 Cl 2.73, 4 W 2.78

Output
magnetization: 0.0 Bohr magnetons per cell
V: 15.26 Å³ per atom
space-group type: Cmmm, No. 65

***

Relative energies in kJ/mol of atoms: A 46.3; B 0.0

***

--- A ---
The following is a PBE calculation of NiW2Cl after structural relaxation, from Alexandria.

Lattice parameters (Å, degrees): 5.2780 5.2780 5.2780 148.02 128.77 61.68
With the nearest neighbours (Å) after each atom.
Fractional positions:
Cl: 0.7500 0.2500 0.5000  4 W 2.56, 4 Ni 2.71
Ni: 0.2500 0.7500 0.5000  4 Cl 2.71, 4 W 2.83, 2 Ni 2.91
W: 0.9821 0.9821 0.0000  2 Cl 2.56, 4 W 2.73, 2 Ni 2.83
W: 0.5179 0.5179 0.0000  2 Cl 2.56, 4 W 2.73, 2 Ni 2.83

Output
magnetization: 0.0 Bohr magnetons per cell
V: 15.04 Å³ per atom
space-group type: Immm, No. 71

***

--- B ---
The following is a PBE calculation of NiW2Cl after structural relaxation, from Alexandria.

Lattice parameters (Å, degrees): 8.8158 8.8158 8.8158 18.71 18.71 18.71
With the nearest neighbours (Å) after each atom.
Fractional positions:
Cl: 0.5043 0.5043 0.5043  3 W 2.53
Ni: 0.7464 0.7464 0.7464  3 W 2.56, 6 Ni 2.87
W: 0.0045 0.0045 0.0045  3 Ni 2.56, 6 W 2.87
W: 0.2447 0.2447 0.2447  3 Cl 2.53

Output
magnetization: 0.0 Bohr magnetons per cell
V: 15.40 Å³ per atom
space-group type: R3m, No. 160

***

Relative energies in kJ/mol of atoms: A 47.2; B 0.0

***

--- A ---
The following is a PBE calculation of NiW2Cl after structural relaxation, from Alexandria.

Lattice parameters (Å, degrees): 3.3715 2.7923 6.7472 90.00 90.00 90.00
With the nearest neighbours (Å) after each atom.
Fractional positions:
Cl: 0.5000 0.2500 0.2500  4 W 2.65, 2 Cl 2.79
Ni: 0.5000 0.7500 0.7500  8 W 2.56, 2 Ni 2.79
W: 0.0000 0.2501 0.9470  4 Ni 2.56, 2 Cl 2.65, 3 W 2.66-2.79
W: 0.0000 0.2499 0.5530  4 Ni 2.56, 2 Cl 2.65, 3 W 2.66-2.79

Output
magnetization: 0.0 Bohr magnetons per cell
V: 15.88 Å³ per atom
space-group type: Pmmm, No. 47

***

--- B ---
The following is a PBE calculation of NiW2Cl after structural relaxation, from Alexandria.

Lattice parameters (Å, degrees): 2.9153 2.9153 6.7262 90.00 90.00 90.00
With the nearest neighbours (Å) after each atom.
Fractional positions:
Cl: 0.5000 0.5000 0.2500  8 W 2.74, 4 Cl 2.92
Ni: 0.5000 0.5000 0.7500  8 W 2.59
W: 0.0000 0.0000 0.9821  4 Ni 2.59, 4 Cl 2.74
W: 0.0000 0.0000 0.5179  4 Ni 2.59, 4 Cl 2.74

Output
magnetization: 0.0 Bohr magnetons per cell
V: 14.29 Å³ per atom
space-group type: P4/mmm, No. 123

***

--- C ---
The following is a PBE calculation of NiW2Cl after structural relaxation, from Alexandria.

Lattice parameters (Å, degrees): 3.8084 3.8084 9.3049 78.19 78.19 90.00
With the nearest neighbours (Å) after each atom.
Fractional positions:
Ni: 0.0000 0.0000 0.0000  4 W 2.58, 4 Cl 2.69
Ni: 0.7500 0.2500 0.5000  4 W 2.58, 4 Cl 2.69
W: 0.6414 0.1250 0.2500  2 Ni 2.58, 4 W 2.61-2.78, 2 Cl 2.63
W: 0.1086 0.6250 0.2500  2 Ni 2.58, 4 W 2.61-2.78, 2 Cl 2.63
W: 0.3750 0.3586 0.7500  2 Ni 2.58, 4 W 2.61-2.78, 2 Cl 2.63
W: 0.8750 0.8914 0.7500  2 Ni 2.58, 4 W 2.61-2.78, 2 Cl 2.63
Cl: 0.5000 0.5000 0.0000  4 W 2.63, 4 Ni 2.69
Cl: 0.2500 0.7500 0.5000  4 W 2.63, 4 Ni 2.69

Output
magnetization: 0.0 Bohr magnetons per cell
V: 16.15 Å³ per atom
space-group type: I-42d, No. 122

***

Relative energies in kJ/mol of atoms: A 0.0; B 16.3; C 52.1

***

--- A ---
The following is a PBE calculation of NiW2Cl after structural relaxation, from Alexandria.

Lattice parameters (Å, degrees): 5.2040 5.0283 2.7559 79.38 80.01 118.03
With the nearest neighbours (Å) after each atom.
Fractional positions:
Cl: 0.0000 0.5000 0.5000  4 W 2.63, 2 Ni 2.72, 2 Cl 2.76
Ni: 0.5000 0.5000 0.0000  4 W 2.63, 2 Cl 2.72, 2 Ni 2.76
W: 0.0000 0.0000 0.0000  2 Cl 2.63, 2 Ni 2.63, 4 W 2.72-2.76
W: 0.5000 0.0000 0.5000  2 Ni 2.63, 2 Cl 2.63, 4 W 2.72-2.76

Output
magnetization: 0.0 Bohr magnetons per cell
V: 14.92 Å³ per atom
space-group type: C2/m, No. 12

***

--- B ---
The following is a PBE calculation of NiW2Cl after structural relaxation, from Alexandria.

Lattice parameters (Å, degrees): 3.0786 3.2191 6.9483 92.00 90.00 90.00
With the nearest neighbours (Å) after each atom.
Fractional positions:
Cl: 0.0000 0.4903 0.5039  2 Ni 2.55, 2 W 2.59
Ni: 0.5000 0.5000 0.7962  2 Cl 2.55, 5 W 2.61-2.83
W: 0.0000 0.0240 0.9966  4 W 2.55-2.76, 4 Ni 2.61-2.64
W: 0.5000 0.4857 0.2033  4 W 2.55-2.76, 2 Cl 2.59, 1 Ni 2.83

Output
magnetization: 0.0 Bohr magnetons per cell
V: 17.20 Å³ per atom
space-group type: Pm, No. 6

***

Relative energies in kJ/mol of atoms: A 55.4; B 0.0